1.
{"formula": "Rb3Nd2O4", "functional": "PBE", "state": "optimized geometry", "cell": [[6.6927, -1.9811, 0.0000], [6.6927, 1.9811, 0.0000], [-5.8744, 0.0000, 8.5713]], "species": ["Rb", "Rb", "Rb", "Nd", "Nd", "O", "O", "O", "O"], "frac_coords": [[0.0000, 0.0000, 0.0000], [0.2050, 0.2050, 0.8232], [0.7950, 0.7950, 0.1768], [0.3915, 0.3915, 0.6269], [0.6085, 0.6085, 0.3731], [0.1883, 0.1883, 0.3556], [0.4324, 0.4324, 0.1503], [0.5676, 0.5676, 0.8497], [0.8117, 0.8117, 0.6444]], "density_g_cm3": 4.4, "e_form_raw_ev_per_atom": -2.0116}


2.
{"formula": "Rb3NdO3", "functional": "PBE", "state": "optimized geometry", "cell": [[3.9199, -6.3856, 0.0000], [3.9199, 6.3856, 0.0000], [-0.9844, 0.0000, 7.3828]], "species": ["Rb", "Rb", "Rb", "Rb", "Rb", "Rb", "Nd", "Nd", "O", "O", "O", "O", "O", "O"], "frac_coords": [[0.2136, 0.7864, 0.0000], [0.2578, 0.7422, 0.5000], [0.3585, 0.3585, 0.1386], [0.6415, 0.6415, 0.8614], [0.7422, 0.2578, 0.5000], [0.7864, 0.2136, 0.0000], [0.1850, 0.1850, 0.6497], [0.8150, 0.8150, 0.3503], [0.1048, 0.1048, 0.3401], [0.1801, 0.4623, 0.7674], [0.4623, 0.1801, 0.7674], [0.5377, 0.8199, 0.2326], [0.8199, 0.5377, 0.2326], [0.8952, 0.8952, 0.6599]], "polymorph_energy_mev_per_atom": 23, "density_g_cm3": 4.0, "e_form_raw_ev_per_atom": -1.8113}


3.
{"formula": "RbNdO", "functional": "PBE", "state": "optimized geometry", "cell": [[15.4583, 0.0000, 0.0000], [0.0000, 1.7951, 3.1023], [0.0000, -1.7951, 3.1023]], "species": ["Rb", "Rb", "Nd", "Nd", "O", "O"], "frac_coords": [[0.1081, 0.0000, 0.0000], [0.8919, 0.0000, 0.0000], [0.3949, 0.5558, 0.5558], [0.6051, 0.5558, 0.5558], [0.0000, 0.6662, 0.6662], [0.5000, 0.8890, 0.8890]], "density_g_cm3": 4.7, "e_form_raw_ev_per_atom": -0.9135}


4.
{"formula": "Rb3NdO3", "functional": "PBE", "state": "optimized geometry", "cell": [[-3.6007, 3.9673, 5.9266], [3.6007, -3.9673, 5.9266], [3.6007, 3.9673, -5.9266]], "species": ["Rb", "Rb", "Rb", "Rb", "Rb", "Rb", "Nd", "Nd", "O", "O", "O", "O", "O", "O"], "frac_coords": [[0.0000, 0.2569, 0.2569], [0.0000, 0.7431, 0.7431], [0.4711, 0.2211, 0.2500], [0.5000, 0.2569, 0.7569], [0.5000, 0.7431, 0.2431], [0.5289, 0.7789, 0.7500], [0.0366, 0.7866, 0.2500], [0.9634, 0.2134, 0.7500], [0.1961, 0.0000, 0.6961], [0.1961, 0.5000, 0.1961], [0.2256, 0.9756, 0.2500], [0.7744, 0.0244, 0.7500], [0.8039, 0.0000, 0.3039], [0.8039, 0.5000, 0.8039]], "polymorph_energy_mev_per_atom": 0, "density_g_cm3": 4.4, "e_form_raw_ev_per_atom": -1.8340}


5.
{"formula": "Rb5NdO4", "functional": "PBE", "state": "optimized geometry", "cell": [[8.9005, -1.9245, 0.0000], [8.9005, 1.9245, 0.0000], [-1.9818, 0.0000, 7.4985]], "species": ["Rb", "Rb", "Rb", "Rb", "Rb", "Nd", "O", "O", "O", "O"], "frac_coords": [[0.0000, 0.0000, 0.0000], [0.3374, 0.3374, 0.6307], [0.3448, 0.3448, 0.1740], [0.6552, 0.6552, 0.8260], [0.6626, 0.6626, 0.3693], [0.0000, 0.0000, 0.5000], [0.1410, 0.1410, 0.5908], [0.4993, 0.4993, 0.7097], [0.5007, 0.5007, 0.2903], [0.8590, 0.8590, 0.4092]], "polymorph_energy_mev_per_atom": 74, "density_g_cm3": 4.1, "e_form_raw_ev_per_atom": -1.5149}


6.
{"formula": "RbNdReO6", "functional": "PBE", "state": "optimized geometry", "cell": [[5.5884, 0.0000, 0.0000], [-2.7919, 5.1609, 0.0000], [-0.1192, -0.2236, 6.0947]], "species": ["Rb", "Nd", "Re", "O", "O", "O", "O", "O", "O"], "frac_coords": [[0.0000, 0.0000, 0.0000], [0.3520, 0.6783, 0.4703], [0.6742, 0.3217, 0.5436], [0.4061, 0.0535, 0.6863], [0.4579, 0.3723, 0.3030], [0.6147, 0.5690, 0.6982], [0.6824, 0.0667, 0.3521], [0.9226, 0.5914, 0.3343], [0.9838, 0.3950, 0.6988]], "density_g_cm3": 4.8, "e_form_raw_ev_per_atom": -1.9348}


7.
{"formula": "RbNdRe2O8", "functional": "PBE", "state": "optimized geometry", "cell": [[6.1442, 0.0000, 0.0000], [-3.0721, 5.3210, 0.0000], [0.0000, 0.0000, 8.0649]], "species": ["Rb", "Nd", "Re", "Re", "O", "O", "O", "O", "O", "O", "O", "O"], "frac_coords": [[0.0000, 0.0000, 0.0000], [0.0000, 0.0000, 0.5000], [0.3333, 0.6667, 0.7589], [0.6667, 0.3333, 0.2411], [0.1722, 0.8248, 0.6814], [0.1752, 0.3474, 0.6814], [0.3333, 0.6667, 0.9777], [0.3474, 0.1722, 0.3186], [0.6526, 0.8278, 0.6814], [0.6667, 0.3333, 0.0223], [0.8248, 0.6526, 0.3186], [0.8278, 0.1752, 0.3186]], "density_g_cm3": 4.6, "e_form_raw_ev_per_atom": -1.9764}


8.
{"formula": "Rb2NdRe3O12", "functional": "PBE", "state": "optimized geometry", "cell": [[3.7196, 2.1475, 6.3206], [-3.7196, 2.1475, 6.3206], [0.0000, -4.2950, 6.3206]], "species": ["Rb", "Rb", "Nd", "Re", "Re", "Re", "O", "O", "O", "O", "O", "O", "O", "O", "O", "O", "O", "O"], "frac_coords": [[0.1187, 0.1187, 0.1187], [0.8813, 0.8813, 0.8813], [0.5000, 0.5000, 0.5000], [0.0000, 0.5000, 0.5000], [0.5000, 0.0000, 0.5000], [0.5000, 0.5000, 0.0000], [0.1267, 0.5829, 0.5829], [0.2022, 0.2022, 0.5738], [0.2022, 0.5738, 0.2022], [0.4171, 0.4171, 0.8733], [0.4171, 0.8733, 0.4171], [0.4262, 0.7978, 0.7978], [0.5738, 0.2022, 0.2022], [0.5829, 0.1267, 0.5829], [0.5829, 0.5829, 0.1267], [0.7978, 0.4262, 0.7978], [0.7978, 0.7978, 0.4262], [0.8733, 0.4171, 0.4171]], "density_g_cm3": 5.8, "e_form_raw_ev_per_atom": -1.8940}


9.
{"formula": "Rb2NdRhO4", "functional": "PBE", "state": "optimized geometry", "cell": [[5.7758, 0.0000, 0.0000], [0.0000, 3.5028, 0.0000], [-2.0914, 0.0000, 6.5032]], "species": ["Rb", "Rb", "Nd", "Rh", "O", "O", "O", "O"], "frac_coords": [[0.0000, 0.0000, 0.0000], [0.5000, 0.5000, 0.0000], [0.0000, 0.5000, 0.5000], [0.5000, 0.0000, 0.5000], [0.2485, 0.0000, 0.6861], [0.3065, 0.5000, 0.3295], [0.6935, 0.5000, 0.6705], [0.7515, 0.0000, 0.3139]], "density_g_cm3": 6.1, "e_form_raw_ev_per_atom": -1.6481}


10.
{"formula": "Rb3Nd3RhO8", "functional": "PBE", "state": "optimized geometry", "cell": [[3.5308, 2.0385, 6.6072], [-3.5308, 2.0385, 6.6072], [0.0000, -4.0770, 6.6072]], "species": ["Rb", "Rb", "Rb", "Nd", "Nd", "Nd", "Rh", "O", "O", "O", "O", "O", "O", "O", "O"], "frac_coords": [[0.0000, 0.5000, 0.5000], [0.5000, 0.0000, 0.5000], [0.5000, 0.5000, 0.0000], [0.0000, 0.0000, 0.5000], [0.0000, 0.5000, 0.0000], [0.5000, 0.0000, 0.0000], [0.5000, 0.5000, 0.5000], [0.2268, 0.2268, 0.2268], [0.2571, 0.7048, 0.7048], [0.2952, 0.2952, 0.7429], [0.2952, 0.7429, 0.2952], [0.7048, 0.2571, 0.7048], [0.7048, 0.7048, 0.2571], [0.7429, 0.2952, 0.2952], [0.7732, 0.7732, 0.7732]], "density_g_cm3": 5.4, "e_form_raw_ev_per_atom": -2.1491}


11.
{"formula": "RbNd2RhO5", "functional": "PBE", "state": "optimized geometry", "cell": [[-3.4203, 3.4203, 6.0217], [3.4203, -3.4203, 6.0217], [3.4203, 3.4203, -6.0217]], "species": ["Rb", "Rb", "Nd", "Nd", "Nd", "Nd", "Rh", "Rh", "O", "O", "O", "O", "O", "O", "O", "O", "O", "O"], "frac_coords": [[0.2500, 0.2500, 0.0000], [0.7500, 0.7500, 0.0000], [0.1774, 0.6774, 0.8549], [0.3226, 0.1774, 0.5000], [0.6774, 0.8226, 0.5000], [0.8226, 0.3226, 0.1451], [0.2500, 0.7500, 0.5000], [0.7500, 0.2500, 0.5000], [0.0000, 0.0000, 0.0000], [0.0050, 0.2530, 0.5000], [0.2470, 0.4950, 0.5000], [0.2530, 0.7530, 0.2479], [0.4950, 0.9950, 0.2479], [0.5000, 0.5000, 0.0000], [0.5050, 0.0050, 0.7521], [0.7470, 0.2470, 0.7521], [0.7530, 0.5050, 0.5000], [0.9950, 0.7470, 0.5000]], "density_g_cm3": 6.6, "e_form_raw_ev_per_atom": -2.1610}


12.
{"formula": "Rb4Nd3RhO8", "functional": "PBE", "state": "optimized geometry", "cell": [[3.5547, 2.0523, 6.5565], [-3.5547, 2.0523, 6.5565], [0.0000, -4.1046, 6.5565]], "species": ["Rb", "Rb", "Rb", "Rb", "Nd", "Nd", "Nd", "Rh", "O", "O", "O", "O", "O", "O", "O", "O"], "frac_coords": [[0.0000, 0.0000, 0.0000], [0.0000, 0.5000, 0.5000], [0.5000, 0.0000, 0.5000], [0.5000, 0.5000, 0.0000], [0.0000, 0.0000, 0.5000], [0.0000, 0.5000, 0.0000], [0.5000, 0.0000, 0.0000], [0.5000, 0.5000, 0.5000], [0.2278, 0.2278, 0.2278], [0.2452, 0.7171, 0.7171], [0.2829, 0.2829, 0.7548], [0.2829, 0.7548, 0.2829], [0.7171, 0.2452, 0.7171], [0.7171, 0.7171, 0.2452], [0.7548, 0.2829, 0.2829], [0.7722, 0.7722, 0.7722]], "density_g_cm3": 5.8, "e_form_raw_ev_per_atom": -2.0618}


13.
{"formula": "Rb3Nd2RhO6", "functional": "PBE", "state": "optimized geometry", "cell": [[3.0382, -5.2569, 0.0000], [3.0382, 5.2569, 0.0000], [-2.0075, 0.0000, 6.5392]], "species": ["Rb", "Rb", "Rb", "Nd", "Nd", "Rh", "O", "O", "O", "O", "O", "O"], "frac_coords": [[0.0000, 0.0000, 0.0000], [0.3386, 0.6614, 0.0000], [0.6614, 0.3386, 0.0000], [0.1671, 0.8329, 0.5000], [0.8329, 0.1671, 0.5000], [0.5000, 0.5000, 0.5000], [0.1309, 0.4402, 0.3206], [0.2496, 0.2496, 0.6794], [0.4402, 0.1309, 0.3206], [0.5598, 0.8691, 0.6794], [0.7504, 0.7504, 0.3206], [0.8691, 0.5598, 0.6794]], "density_g_cm3": 5.9, "e_form_raw_ev_per_atom": -1.9325}


14.
{"formula": "Rb2Nd2RuO6", "functional": "PBE", "state": "optimized geometry", "cell": [[3.0202, -5.1456, 0.0000], [3.0202, 5.1456, 0.0000], [-1.7098, 0.0000, 6.6859]], "species": ["Rb", "Rb", "Nd", "Nd", "Ru", "O", "O", "O", "O", "O", "O"], "frac_coords": [[0.1614, 0.8386, 0.0000], [0.8386, 0.1614, 0.0000], [0.3335, 0.6665, 0.5000], [0.6665, 0.3335, 0.5000], [0.0000, 0.0000, 0.5000], [0.0463, 0.3520, 0.6670], [0.2337, 0.2337, 0.3346], [0.3520, 0.0463, 0.6670], [0.6480, 0.9537, 0.3330], [0.7663, 0.7663, 0.6654], [0.9537, 0.6480, 0.3330]], "density_g_cm3": 5.2, "e_form_raw_ev_per_atom": -2.0581}


15.
{"formula": "Rb4Nd3RuO8", "functional": "PBE", "state": "optimized geometry", "cell": [[3.5495, 2.0493, 6.5556], [-3.5495, 2.0493, 6.5556], [0.0000, -4.0986, 6.5556]], "species": ["Rb", "Rb", "Rb", "Rb", "Nd", "Nd", "Nd", "Ru", "O", "O", "O", "O", "O", "O", "O", "O"], "frac_coords": [[0.0000, 0.0000, 0.0000], [0.0000, 0.5000, 0.5000], [0.5000, 0.0000, 0.5000], [0.5000, 0.5000, 0.0000], [0.0000, 0.0000, 0.5000], [0.0000, 0.5000, 0.0000], [0.5000, 0.0000, 0.0000], [0.5000, 0.5000, 0.5000], [0.2280, 0.2280, 0.2280], [0.2468, 0.7158, 0.7158], [0.2842, 0.2841, 0.7532], [0.2842, 0.7532, 0.2842], [0.7159, 0.2468, 0.7159], [0.7159, 0.7159, 0.2468], [0.7532, 0.2841, 0.2841], [0.7720, 0.7720, 0.7720]], "density_g_cm3": 5.8, "e_form_raw_ev_per_atom": -2.0505}


16.
{"formula": "RbNd2RuO8", "functional": "PBE", "state": "optimized geometry", "cell": [[4.2376, 0.0000, 0.0000], [-0.0079, 5.3769, 0.0000], [-1.9847, -0.0119, 7.1665]], "species": ["Rb", "Nd", "Nd", "Ru", "O", "O", "O", "O", "O", "O", "O", "O"], "frac_coords": [[0.0000, 0.0000, 0.0000], [0.3746, 0.4899, 0.7083], [0.6254, 0.5101, 0.2917], [0.0000, 0.0000, 0.5000], [0.1735, 0.5008, 0.9973], [0.1844, 0.6967, 0.4082], [0.2022, 0.2269, 0.3760], [0.3505, 0.0223, 0.7197], [0.6495, 0.9777, 0.2803], [0.7978, 0.7731, 0.6240], [0.8156, 0.3033, 0.5918], [0.8265, 0.4992, 0.0027]], "density_g_cm3": 6.1, "e_form_raw_ev_per_atom": -1.8143}


17.
{"formula": "RbNdRuO6", "functional": "PBE", "state": "optimized geometry", "cell": [[5.7759, 0.0000, 0.0000], [-2.8879, 5.0021, 0.0000], [0.0000, 0.0000, 6.0952]], "species": ["Rb", "Nd", "Ru", "O", "O", "O", "O", "O", "O"], "frac_coords": [[0.0000, 0.0000, 0.0000], [0.6667, 0.3333, 0.5000], [0.3333, 0.6667, 0.5000], [0.0573, 0.4106, 0.3206], [0.0573, 0.6466, 0.6794], [0.3534, 0.4106, 0.6794], [0.3534, 0.9427, 0.3206], [0.5894, 0.6466, 0.3206], [0.5894, 0.9427, 0.6794]], "density_g_cm3": 4.0, "e_form_raw_ev_per_atom": -1.4588}


18.
{"formula": "RbNdSO", "functional": "PBE", "state": "optimized geometry", "cell": [[1.9550, 1.1287, 7.2815], [-1.9550, 1.1287, 7.2815], [0.0000, -2.2575, 7.2815]], "species": ["Rb", "Nd", "S", "O"], "frac_coords": [[0.0000, 0.0000, 0.0000], [0.4850, 0.4850, 0.4850], [0.2311, 0.2311, 0.2311], [0.7734, 0.7734, 0.7734]], "density_g_cm3": 4.8, "e_form_raw_ev_per_atom": -2.1207}


19.
{"formula": "Rb2NdSO6", "functional": "PBE", "state": "optimized geometry", "cell": [[6.4172, 0.0000, 0.0000], [-3.2086, 5.5575, 0.0000], [0.0000, 0.0000, 5.8407]], "species": ["Rb", "Rb", "Nd", "S", "O", "O", "O", "O", "O", "O"], "frac_coords": [[0.3333, 0.6667, 0.1045], [0.6667, 0.3333, 0.8955], [0.0000, 0.0000, 0.5000], [0.0000, 0.0000, 0.0000], [0.1243, 0.2485, 0.8308], [0.1243, 0.8757, 0.8308], [0.2485, 0.1243, 0.1692], [0.7515, 0.8757, 0.8308], [0.8757, 0.1243, 0.1692], [0.8757, 0.7515, 0.1692]], "density_g_cm3": 3.5, "e_form_raw_ev_per_atom": -1.5431}


20.
{"formula": "RbNdS2O6", "functional": "PBE", "state": "optimized geometry", "cell": [[2.7550, 1.5906, 7.0984], [-2.7550, 1.5906, 7.0984], [0.0000, -3.1812, 7.0984]], "species": ["Rb", "Nd", "S", "S", "O", "O", "O", "O", "O", "O"], "frac_coords": [[0.0000, 0.0000, 0.0000], [0.5000, 0.5000, 0.5000], [0.2614, 0.2614, 0.2614], [0.7386, 0.7386, 0.7386], [0.0463, 0.7160, 0.5385], [0.2840, 0.4615, 0.9537], [0.4615, 0.9537, 0.2840], [0.5385, 0.0463, 0.7160], [0.7160, 0.5385, 0.0463], [0.9537, 0.2840, 0.4615]], "density_g_cm3": 3.5, "e_form_raw_ev_per_atom": -1.9886}


21.
{"formula": "Rb2Nd4S3O2", "functional": "PBE", "state": "optimized geometry", "cell": [[-2.3688, 2.3688, 12.3669], [2.3688, -2.3688, 12.3669], [2.3688, 2.3688, -12.3669]], "species": ["Rb", "Rb", "Nd", "Nd", "Nd", "Nd", "S", "S", "S", "O", "O"], "frac_coords": [[0.2029, 0.2029, 0.0000], [0.7971, 0.7971, 0.0000], [0.0735, 0.5735, 0.5000], [0.4265, 0.9265, 0.5000], [0.5735, 0.0735, 0.5000], [0.9265, 0.4265, 0.5000], [0.3480, 0.3480, 0.0000], [0.5000, 0.5000, 0.0000], [0.6520, 0.6520, 0.0000], [0.0932, 0.0932, 0.0000], [0.9068, 0.9068, 0.0000]], "density_g_cm3": 5.2, "e_form_raw_ev_per_atom": -1.8298}